Computed, not measured: a geometry-optimized ZrV2Ru3 structure at the PBE level of DFT.

```
data_ZrV2Ru3
_cell_length_a 3.0040
_cell_length_b 3.0040
_cell_length_c 10.0000
_cell_angle_alpha 90.00
_cell_angle_beta 90.00
_cell_angle_gamma 90.00
_space_group_name_H-M_alt 'P 4/m m m'
_space_group_IT_number 123
_space_group_name_Hall '-P 4 2'
loop_
_atom_site_label
_atom_site_fract_x
_atom_site_fract_y
_atom_site_fract_z
_atom_site_occupancy
Zr1 0.0000 0.0000 0.0000 1
V1 0.0000 0.0000 0.3436 1
Ru1 0.5000 0.5000 0.2053 1
Ru2 0.5000 0.5000 0.5000 1
```

## Properties
For the density of states at the Fermi level, the calculation gives 1.030 states/eV/atom. The calculation puts the calculated density at 9.1 g cm⁻³. The energy of formation is -339 meV/atom.